Record 1
An optimized crystal structure of CsPaTe3. Source: Alexandria via LeMat-Bulk, functional PBE.

Calculated values
Calculated volume (Å³/cell): 811
E above lowest polymorph (meV per atom): 35
SG: C2/c

a b c (Å): 8.062 10.396 10.396
angles (deg): 68.53 90.08 90.08
Site moments in Bohr magnetons follow the coordinates.
Positions (direct):
Pa 0.872 0.697 0.805  0.17
Pa 0.628 0.195 0.303  0.17
Pa 0.372 0.805 0.697  0.17
Pa 0.128 0.303 0.195  0.17
Te 0.909 0.060 0.199  -0.01
Te 0.794 0.436 0.058  -0.01
Te 0.089 0.698 0.565  -0.01
Te 0.206 0.564 0.942  -0.01
Te 0.091 0.940 0.801  -0.01
Te 0.589 0.565 0.698  -0.01
Te 0.591 0.801 0.940  -0.01
Te 0.706 0.942 0.564  -0.01
Te 0.409 0.199 0.060  -0.01
Te 0.294 0.058 0.436  -0.01
Te 0.411 0.435 0.302  -0.01
Te 0.911 0.302 0.435  -0.01
Cs 0.750 0.179 0.821  0.00
Cs 0.250 0.821 0.179  0.00
Cs 0.250 0.324 0.676  0.00
Cs 0.750 0.676 0.324  0.00

=====

Record 2
An optimized crystal structure of CsPa2Te4. Source: Alexandria via LeMat-Bulk, functional PBE.

Calculated values
Calculated volume (Å³/cell): 300
E above lowest polymorph (meV per atom): 0
SG: C2/m

a b c (Å): 4.444 7.145 9.945
angles (deg): 102.58 102.91 90.00
Site moments in Bohr magnetons follow the coordinates.
Positions (direct):
Pa 0.756 0.790 0.512  1.25
Pa 0.244 0.210 0.488  1.25
Te 0.164 0.545 0.329  -0.03
Te 0.836 0.455 0.671  -0.03
Te 0.639 0.025 0.278  -0.04
Te 0.361 0.975 0.722  -0.04
Cs 0.500 0.500 0.000  0.00

=====

Record 3
An optimized crystal structure of Cs4PaTe4. Source: Alexandria via LeMat-Bulk, functional PBE.

Calculated values
Calculated volume (Å³/cell): 502
SG: I-42m

a b c (Å): 9.689 9.689 9.689
angles (deg): 131.30 131.30 71.33
Site moments in Bohr magnetons follow the coordinates.
Positions (direct):
Cs 0.842 0.442 0.000  0.00
Cs 0.558 0.558 0.400  0.00
Cs 0.442 0.842 0.000  0.00
Cs 0.158 0.158 0.600  0.00
Te 0.899 0.899 0.580  -0.02
Te 0.320 0.320 0.420  -0.02
Te 0.680 0.101 0.000  -0.02
Te 0.101 0.680 0.000  -0.02
Pa 0.000 0.000 0.000  0.98

=====

no.,final energy (Ha/atom)
1,-0.1798
2,-0.2033
3,-0.1402